[1]
## BaLi5 (GGA-PBEsol)

Data for crystalline BaLi5 at its relaxed geometry.

Summary:
Symmetry: P4/mmm (123)
Formation energy from the elements, eV/f.u.: 0.24
Distance to the lowest polymorph of the same formula, meV/atom: 18

```
data_BaLi5
_symmetry_space_group_name_H-M 'P 1'
_symmetry_Int_Tables_number 1
_cell_length_a 3.794
_cell_length_b 3.794
_cell_length_c 11.057
_cell_angle_alpha 90.00
_cell_angle_beta 90.00
_cell_angle_gamma 90.00
loop_
_symmetry_equiv_pos_as_xyz
'x,y,z'
loop_
_atom_site_label
_atom_site_type_symbol
_atom_site_fract_x
_atom_site_fract_y
_atom_site_fract_z
Ba1 Ba 0.000 0.000 0.000
Li1 Li 0.000 0.000 0.359
Li2 Li 0.000 0.000 0.641
Li3 Li 0.500 0.500 0.232
Li4 Li 0.500 0.500 0.500
Li5 Li 0.500 0.500 0.768
```

***

[2]
## Ba3Li (GGA-PBEsol)

Data for crystalline Ba3Li at its relaxed geometry.

Summary:
Symmetry: Immm (71)
Formation energy from the elements, eV/f.u.: 0.20

```
data_Ba3Li
_symmetry_space_group_name_H-M 'P 1'
_symmetry_Int_Tables_number 1
_cell_length_a 7.734
_cell_length_b 7.734
_cell_length_c 7.734
_cell_angle_alpha 146.71
_cell_angle_beta 128.85
_cell_angle_gamma 62.40
loop_
_symmetry_equiv_pos_as_xyz
'x,y,z'
loop_
_atom_site_label
_atom_site_type_symbol
_atom_site_fract_x
_atom_site_fract_y
_atom_site_fract_z
Ba1 Ba 0.000 0.000 0.000
Ba2 Ba 0.286 0.786 0.500
Ba3 Ba 0.714 0.214 0.500
Li1 Li 0.500 0.500 0.000
```

***

[3]
## BaLi5 (GGA-PBEsol)

Data for crystalline BaLi5 at its relaxed geometry.

Summary:
Symmetry: Amm2 (38)
Formation energy from the elements, eV/f.u.: 0.49
Distance to the lowest polymorph of the same formula, meV/atom: 59

```
data_BaLi5
_symmetry_space_group_name_H-M 'P 1'
_symmetry_Int_Tables_number 1
_cell_length_a 4.687
_cell_length_b 9.077
_cell_length_c 9.077
_cell_angle_alpha 25.40
_cell_angle_beta 90.00
_cell_angle_gamma 90.00
loop_
_symmetry_equiv_pos_as_xyz
'x,y,z'
loop_
_atom_site_label
_atom_site_type_symbol
_atom_site_fract_x
_atom_site_fract_y
_atom_site_fract_z
Ba1 Ba 0.000 0.000 0.000
Li1 Li 0.000 0.300 0.300
Li2 Li 0.000 0.674 0.674
Li3 Li 0.500 0.163 0.163
Li4 Li 0.500 0.400 0.400
Li5 Li 0.500 0.785 0.785
```

***

[4]
## Ba3Li (GGA-PBEsol)

Data for crystalline Ba3Li at its relaxed geometry.

Summary:
Symmetry: Cmcm (63)
Formation energy from the elements, eV/f.u.: 0.25

```
data_Ba3Li
_symmetry_space_group_name_H-M 'P 1'
_symmetry_Int_Tables_number 1
_cell_length_a 8.611
_cell_length_b 8.611
_cell_length_c 5.574
_cell_angle_alpha 90.00
_cell_angle_beta 90.00
_cell_angle_gamma 101.60
loop_
_symmetry_equiv_pos_as_xyz
'x,y,z'
loop_
_atom_site_label
_atom_site_type_symbol
_atom_site_fract_x
_atom_site_fract_y
_atom_site_fract_z
Ba1 Ba 0.112 0.888 0.750
Ba2 Ba 0.168 0.413 0.750
Ba3 Ba 0.413 0.168 0.250
Ba4 Ba 0.587 0.832 0.750
Ba5 Ba 0.832 0.587 0.250
Ba6 Ba 0.888 0.112 0.250
Li1 Li 0.308 0.692 0.250
Li2 Li 0.692 0.308 0.750
```

***

[5]
## BaLi8 (GGA-PBEsol)

Data for crystalline BaLi8 at its relaxed geometry.

Summary:
Symmetry: I4/mmm (139)
Formation energy from the elements, eV/f.u.: 0.55

```
data_BaLi8
_symmetry_space_group_name_H-M 'P 1'
_symmetry_Int_Tables_number 1
_cell_length_a 7.260
_cell_length_b 7.260
_cell_length_c 7.260
_cell_angle_alpha 96.03
_cell_angle_beta 96.03
_cell_angle_gamma 142.17
loop_
_symmetry_equiv_pos_as_xyz
'x,y,z'
loop_
_atom_site_label
_atom_site_type_symbol
_atom_site_fract_x
_atom_site_fract_y
_atom_site_fract_z
Ba1 Ba 0.000 0.000 0.000
Li1 Li 0.000 0.353 0.353
Li2 Li 0.000 0.647 0.647
Li3 Li 0.311 0.311 0.622
Li4 Li 0.311 0.689 0.000
Li5 Li 0.353 0.000 0.353
Li6 Li 0.647 0.000 0.647
Li7 Li 0.689 0.311 0.000
Li8 Li 0.689 0.689 0.378
```

***

[6]
## BaLi2 (GGA-PBEsol)

Data for crystalline BaLi2 at its relaxed geometry.

Summary:
Symmetry: I4/mmm (139)
Formation energy from the elements, eV/f.u.: 0.10

```
data_BaLi2
_symmetry_space_group_name_H-M 'P 1'
_symmetry_Int_Tables_number 1
_cell_length_a 6.771
_cell_length_b 6.771
_cell_length_c 6.771
_cell_angle_alpha 145.69
_cell_angle_beta 145.69
_cell_angle_gamma 49.31
loop_
_symmetry_equiv_pos_as_xyz
'x,y,z'
loop_
_atom_site_label
_atom_site_type_symbol
_atom_site_fract_x
_atom_site_fract_y
_atom_site_fract_z
Ba1 Ba 0.000 0.000 0.000
Li1 Li 0.297 0.297 0.000
Li2 Li 0.703 0.703 0.000
```

***

[7]
## BaLi (GGA-PBEsol)

Data for crystalline BaLi at its relaxed geometry.

Summary:
Symmetry: Pm-3m (221)
Formation energy from the elements, eV/f.u.: 0.09
Distance to the lowest polymorph of the same formula, meV/atom: 8

```
data_BaLi
_symmetry_space_group_name_H-M 'P 1'
_symmetry_Int_Tables_number 1
_cell_length_a 4.343
_cell_length_b 4.343
_cell_length_c 4.343
_cell_angle_alpha 90.00
_cell_angle_beta 90.00
_cell_angle_gamma 90.00
loop_
_symmetry_equiv_pos_as_xyz
'x,y,z'
loop_
_atom_site_label
_atom_site_type_symbol
_atom_site_fract_x
_atom_site_fract_y
_atom_site_fract_z
Ba1 Ba 0.000 0.000 0.000
Li1 Li 0.500 0.500 0.500
```

***

[8]
## BaLi3 (GGA-PBEsol)

Data for crystalline BaLi3 at its relaxed geometry.

Summary:
Symmetry: R-3m (166)
Formation energy from the elements, eV/f.u.: 0.25

```
data_BaLi3
_symmetry_space_group_name_H-M 'P 1'
_symmetry_Int_Tables_number 1
_cell_length_a 6.707
_cell_length_b 6.707
_cell_length_c 6.707
_cell_angle_alpha 43.84
_cell_angle_beta 43.84
_cell_angle_gamma 43.84
loop_
_symmetry_equiv_pos_as_xyz
'x,y,z'
loop_
_atom_site_label
_atom_site_type_symbol
_atom_site_fract_x
_atom_site_fract_y
_atom_site_fract_z
Ba1 Ba 0.000 0.000 0.000
Li1 Li 0.199 0.199 0.199
Li2 Li 0.500 0.500 0.500
Li3 Li 0.801 0.801 0.801
```

***

Calculated values (Bohr magnetons per cell) of magnetic moment for the records, taken in order: 0.0 0.0 0.0 0.0 0.0 0.0 0.0 0.0.